Compound: YTlRe2H
Source: Alexandria
Functional: PBE
Structure: optimized geometry

a = 4.1228 Å, b = 4.1228 Å, c = 4.7256 Å
α = 90.00°, β = 90.00°, γ = 90.00°
Last column: nearest neighbours and their distance in Å.
Fractional positions:
Y 0.0000 0.0000 0.0000  4 Tl 2.92, 8 Re 3.14
Tl 0.5000 0.5000 0.0000  2 H 2.36
Re 0.0000 0.5000 0.5000  2 H 2.06
Re 0.5000 0.0000 0.5000  2 H 2.06
H 0.5000 0.5000 0.5000  4 Re 2.06

Space-group type: P4/mmm
DFT total energy, eV/atom: -6.799
D(E_F), states/eV/f.u.: 5.992